Compound: K3Ta4
Source: Alexandria via LeMat-Bulk
Functional: GGA-PBE
Structure: optimized geometry

Lattice parameters (Å, degrees): 3.520 3.520 35.103 90.00 90.00 90.00
Space group I4/mmm (No. 139)
One atom of each set of equivalent atoms:
K: 0.000 0.000 0.000 (multiplicity 2)
K: 0.000 0.000 0.310 (multiplicity 4)
Ta: 0.000 0.000 0.111 (multiplicity 4)
Ta: 0.000 0.000 0.418 (multiplicity 4)

Summary:
Crystal system: tetragonal
Electronic total energy (eV per atom): -6.306
ΔH_f (0 K) (eV/f.u.): 6.56